1.
This record from Alexandria describes crystalline Ac3YHo3Se8 at its relaxed geometry. The functional is GGA-PBE.

The magnetic moment comes out at 0.00 μB per atom. The uncorrected formation energy is -1.8512 eV/atom. The total energy comes out at -88.167 eV/f.u.

The structure belongs to space group R-3m (No. 166, hexagonal axes); the cell edges are 8.3373, 8.3373 and 21.4288 Å and the angles 90.00°, 90.00° and 120.00°. The distinct sites, in fractional coordinates, are Ac at (0.0000, 0.5000, 0.0000), Y at (0.0000, 0.0000, 0.5000), Ho at (0.0000, 0.5000, 0.5000), Se at (0.0000, 0.0000, 0.2399) and Se at (0.0071, 0.5035, 0.7581).

***

2.
This record from Alexandria describes crystalline Cu2BiAs at its relaxed geometry. The functional is GGA-PBE.

The magnetic moment comes out at 0.00 μB per atom. The total energy comes out at -16.129 eV/f.u. The calculation puts the formation energy at 57.3 kJ/mol of formula units.

The structure belongs to space group R3m (No. 160, hexagonal axes); the cell edges are 4.0073, 4.0073 and 17.0524 Å and the angles 90.00°, 90.00° and 120.00°. The distinct sites, in fractional coordinates, are Cu at (0.0000, 0.0000, 0.0000), Cu at (0.0000, 0.0000, 0.2245), Bi at (0.0000, 0.0000, 0.7812) and As at (0.0000, 0.0000, 0.6112).

***

3.
This record from Alexandria describes crystalline YMn2NiOs at its relaxed geometry. The functional is GGA-PBE.

The magnetic moment comes out at 1.62 μB per atom. The total energy comes out at -37.323 eV/f.u. The calculation puts the formation energy at 433.4 kJ/mol of formula units.

The structure belongs to space group P4/mmm (No. 123); the cell edges are 4.4166, 4.4166 and 4.8914 Å and the angles 90.00°, 90.00° and 90.00°. The distinct sites, in fractional coordinates, are Y at (0.0000, 0.0000, 0.0000), Mn at (0.0000, 0.5000, 0.5000), Ni at (0.0000, 0.0000, 0.5000) and Os at (0.5000, 0.5000, 0.0000).

***

4.
This record from Alexandria describes crystalline KMn2Te at its relaxed geometry. The functional is GGA-PBE.

The magnetic moment comes out at 2.18 μB per atom. The uncorrected formation energy is 0.6553 eV/atom. The total energy comes out at -19.957 eV/f.u.

The structure belongs to space group I-4m2 (No. 119); the cell edges are 4.4726, 4.4726 and 10.0652 Å and the angles 90.00°, 90.00° and 90.00°. The distinct sites, in fractional coordinates, are K at (0.0000, 0.0000, 0.0000), Mn at (0.0000, 0.0000, 0.5000), Mn at (0.0000, 0.5000, 0.7500) and Te at (0.0000, 0.5000, 0.2500).